The following is a PBE calculation of a relaxed DyY2Er2Lu2Ni2Te2 crystal, from the Open Quantum Materials Database.

a b c (Å): 9.3165 9.3165 9.3165
angles (deg): 156.14 66.97 118.46
With the nearest neighbours (Å) after each atom.
Element x y z (fractional)
Dy1 0.4776 0.4776 0.0000  3 Te 3.17-3.22
Er1 0.0272 0.8942 0.1330  2 Ni 2.77
Er2 0.7613 0.8942 0.8670  2 Ni 2.77
Lu1 0.4121 0.0969 0.3151  2 Ni 2.77
Lu2 0.7818 0.0969 0.6849  2 Ni 2.77
Ni1 0.6463 0.4074 0.2389  2 Lu 2.77, 2 Er 2.77, 2 Y 2.85
Ni2 0.1684 0.4074 0.7611  2 Lu 2.77, 2 Er 2.77, 2 Y 2.85
Te1 0.1400 0.1400 0.0000  2 Er 3.12, 4 Y 3.15, 1 Dy 3.22
Te2 0.7416 0.2416 0.5000  2 Dy 3.17, 4 Er 3.18, 2 Lu 3.19
Y1 0.0977 0.7450 0.3527  2 Ni 2.85, 2 Te 3.15
Y2 0.3923 0.7450 0.6473  2 Ni 2.85, 2 Te 3.15

DFT total energy: -5.521 eV/atom
calculated volume: 25.93 Å³ per atom
space-group type: Imm2


The following is a PBE calculation of a relaxed Dy2Y2Er2LuNi2Te2 crystal, from the Open Quantum Materials Database.

a b c (Å): 9.3406 9.3406 9.3406
angles (deg): 156.29 67.02 118.35
With the nearest neighbours (Å) after each atom.
Element x y z (fractional)
Dy1 0.1017 0.7481 0.3536  2 Ni 2.82, 2 Te 3.15
Dy2 0.3945 0.7481 0.6464  2 Ni 2.82, 2 Te 3.15
Er1 0.4115 0.0960 0.3155  2 Ni 2.77
Er2 0.7805 0.0960 0.6845  2 Ni 2.77
Lu1 0.4766 0.4766 0.0000  3 Te 3.16-3.20
Ni1 0.6425 0.4056 0.2369  2 Er 2.77, 2 Y 2.81, 2 Dy 2.82
Ni2 0.1686 0.4056 0.7631  2 Er 2.77, 2 Y 2.81, 2 Dy 2.82
Te1 0.1419 0.1419 0.0000  2 Y 3.13, 4 Dy 3.15, 1 Lu 3.20
Te2 0.7390 0.2390 0.5000  2 Lu 3.16, 4 Y 3.18, 2 Er 3.18
Y1 0.0260 0.8947 0.1313  2 Ni 2.81, 1 Te 3.13
Y2 0.7634 0.8947 0.8687  2 Ni 2.81, 1 Te 3.13

DFT total energy: -5.509 eV/atom
calculated volume: 26.01 Å³ per atom
space-group type: Imm2


The following is a PBE calculation of a relaxed Dy2Y2Er2LuNi2Te2 crystal, from the Open Quantum Materials Database.

a b c (Å): 9.3417 9.3417 9.3417
angles (deg): 156.27 67.00 118.38
With the nearest neighbours (Å) after each atom.
Element x y z (fractional)
Dy1 0.0270 0.8954 0.1316  2 Ni 2.79, 1 Te 3.12
Dy2 0.7639 0.8954 0.8684  2 Ni 2.79, 1 Te 3.12
Er1 0.0995 0.7459 0.3537  2 Ni 2.84, 2 Te 3.14
Er2 0.3922 0.7459 0.6463  2 Ni 2.84, 2 Te 3.14
Lu1 0.4772 0.4772 0.0000  3 Te 3.17-3.21
Ni1 0.6433 0.4049 0.2385  2 Y 2.79, 2 Dy 2.79, 2 Er 2.84
Ni2 0.1664 0.4049 0.7615  2 Y 2.79, 2 Dy 2.79, 2 Er 2.84
Te1 0.1417 0.1417 0.0000  2 Dy 3.12, 4 Er 3.14, 1 Lu 3.21
Te2 0.7413 0.2413 0.5000  4 Dy 3.17, 2 Lu 3.17, 2 Y 3.19
Y1 0.4125 0.0968 0.3156  2 Ni 2.79
Y2 0.7812 0.0968 0.6844  2 Ni 2.79

DFT total energy: -5.499 eV/atom
calculated volume: 26.03 Å³ per atom
space-group type: Imm2


Sequential ΔE to the lowest computed polymorph output: 0; 1; 11 meV/atom